VASP calculation (PBE) on a relaxed Na5MgBr8 crystal.

Computed properties:
Magnetic moment, Bohr magnetons per cell: 1.120
Crystal system: cubic
Total energy, eV/cell: -40.1
Formation energy without anion corrections, meV per atom: -1322

Cell: 8.588 8.588 8.588 Å, 60.00 60.00 60.00°
Element x y z (fractional)
Na 0.000 0.000 0.000
Na 0.122 0.626 0.626
Na 0.626 0.122 0.626
Na 0.626 0.626 0.122
Na 0.626 0.626 0.626
Mg 0.250 0.250 0.250
Br 0.372 0.372 0.372
Br 0.372 0.372 0.884
Br 0.372 0.884 0.372
Br 0.401 0.866 0.866
Br 0.866 0.401 0.866
Br 0.866 0.866 0.401
Br 0.866 0.866 0.866
Br 0.884 0.372 0.372

VASP calculation (PBE) on a relaxed Na4MgBr5 crystal.

Computed properties:
Magnetic moment, Bohr magnetons per cell: 0.000
Crystal system: tetragonal
Total energy, eV/cell: -28.7
Formation energy without anion corrections, meV per atom: -1345

Cell: 7.469 7.469 7.469 Å, 99.19 99.19 132.89°
Element x y z (fractional)
Na 0.103 0.699 0.802
Na 0.301 0.103 0.404
Na 0.699 0.897 0.596
Na 0.897 0.301 0.198
Mg 0.500 0.500 0.000
Br 0.000 0.000 0.000
Br 0.196 0.398 0.594
Br 0.398 0.804 0.201
Br 0.602 0.196 0.799
Br 0.804 0.602 0.406

VASP calculation (PBE) on a relaxed NaMgBr3 crystal.

Computed properties:
Magnetic moment, Bohr magnetons per cell: 0.000
Crystal system: cubic
Total energy, eV/cell: -14.7
Formation energy without anion corrections, meV per atom: -1350

Cell: 5.312 5.312 5.312 Å, 90.00 90.00 90.00°
Element x y z (fractional)
Na 0.000 0.000 0.000
Mg 0.500 0.500 0.500
Br 0.000 0.500 0.500
Br 0.500 0.000 0.500
Br 0.500 0.500 0.000

VASP calculation (PBE) on a relaxed Na5Mg3Br12 crystal.

Computed properties:
Magnetic moment, Bohr magnetons per cell: 0.521
Crystal system: cubic
Total energy, eV/cell: -229.1
Formation energy without anion corrections, meV per atom: -1291

Cell: 15.355 15.355 15.355 Å, 109.47 109.47 109.47°
Element x y z (fractional)
Na 0.000 0.000 0.000
Na 0.000 0.000 0.500
Na 0.000 0.500 0.000
Na 0.000 0.500 0.500
Na 0.125 0.750 0.875
Na 0.125 0.875 0.250
Na 0.250 0.125 0.875
Na 0.250 0.625 0.375
Na 0.375 0.250 0.625
Na 0.375 0.625 0.750
Na 0.500 0.000 0.000
Na 0.500 0.000 0.500
Na 0.500 0.500 0.000
Na 0.500 0.500 0.500
Na 0.625 0.375 0.250
Na 0.625 0.750 0.375
Na 0.750 0.375 0.625
Na 0.750 0.875 0.125
Na 0.875 0.125 0.750
Na 0.875 0.250 0.125
Mg 0.125 0.250 0.375
Mg 0.125 0.375 0.750
Mg 0.250 0.375 0.125
Mg 0.250 0.875 0.625
Mg 0.375 0.125 0.250
Mg 0.375 0.750 0.125
Mg 0.625 0.250 0.875
Mg 0.625 0.875 0.750
Mg 0.750 0.125 0.375
Mg 0.750 0.625 0.875
Mg 0.875 0.625 0.250
Mg 0.875 0.750 0.625
Br 0.018 0.634 0.199
Br 0.018 0.883 0.819
Br 0.064 0.181 0.699
Br 0.064 0.383 0.366
Br 0.117 0.181 0.982
Br 0.117 0.436 0.134
Br 0.134 0.117 0.436
Br 0.134 0.518 0.699
Br 0.181 0.699 0.064
Br 0.181 0.982 0.117
Br 0.199 0.018 0.634
Br 0.199 0.681 0.564
Br 0.301 0.866 0.482
Br 0.301 0.936 0.819
Br 0.319 0.383 0.518
Br 0.319 0.436 0.801
Br 0.366 0.064 0.383
Br 0.366 0.801 0.982
Br 0.383 0.366 0.064
Br 0.383 0.518 0.319
Br 0.436 0.134 0.117
Br 0.436 0.801 0.319
Br 0.482 0.301 0.866
Br 0.482 0.681 0.617
Br 0.518 0.319 0.383
Br 0.518 0.699 0.134
Br 0.564 0.199 0.681
Br 0.564 0.866 0.883
Br 0.617 0.482 0.681
Br 0.617 0.634 0.936
Br 0.634 0.199 0.018
Br 0.634 0.936 0.617
Br 0.681 0.564 0.199
Br 0.681 0.617 0.482
Br 0.699 0.064 0.181
Br 0.699 0.134 0.518
Br 0.801 0.319 0.436
Br 0.801 0.982 0.366
Br 0.819 0.018 0.883
Br 0.819 0.301 0.936
Br 0.866 0.482 0.301
Br 0.866 0.883 0.564
Br 0.883 0.564 0.866
Br 0.883 0.819 0.018
Br 0.936 0.617 0.634
Br 0.936 0.819 0.301
Br 0.982 0.117 0.181
Br 0.982 0.366 0.801